[1]
RbAs2OsBr: PBEsol geometry, SCAN.

Cell: 5.4978 5.4978 5.5914 Å, 90.00 90.00 90.00°
Fractional positions:
Rb: 0.0000 0.0000 0.0000
As: 0.0000 0.5000 0.0000
As: 0.5000 0.0000 0.0000
Os: 0.5000 0.5000 0.5000
Br: 0.0000 0.0000 0.5000

calculated volume: 169 Å³/cell
total DFT energy (no corrections): -140.3 eV per formula unit

***

[2]
RbAs2OsBr: PBEsol geometry, SCAN.

Cell: 4.7095 4.7095 5.8362 Å, 90.00 90.00 90.00°
Fractional positions:
Rb: 0.0000 0.0000 0.0000
As: 0.0000 0.5000 0.5000
As: 0.5000 0.0000 0.5000
Os: 0.5000 0.5000 0.5000
Br: 0.5000 0.5000 0.0000

calculated volume: 129 Å³/cell
total DFT energy (no corrections): -152.8 eV per formula unit

***

[3]
As2OsSeBr: PBEsol geometry, SCAN.

Cell: 4.7135 4.7135 5.0271 Å, 90.00 90.00 90.00°
Fractional positions:
As: 0.0000 0.5000 0.0000
As: 0.5000 0.0000 0.0000
Os: 0.0000 0.0000 0.0000
Se: 0.5000 0.5000 0.5000
Br: 0.0000 0.0000 0.5000

calculated volume: 112 Å³/cell
total DFT energy (no corrections): -148.4 eV per formula unit

***

[4]
As2OsSeBr: PBEsol geometry, SCAN.

Cell: 4.9102 4.9102 4.8519 Å, 90.00 90.00 90.00°
Fractional positions:
As: 0.0000 0.5000 0.0000
As: 0.5000 0.0000 0.0000
Os: 0.0000 0.0000 0.5000
Se: 0.5000 0.5000 0.0000
Br: 0.5000 0.5000 0.5000

calculated volume: 117 Å³/cell
total DFT energy (no corrections): -142.7 eV per formula unit

***

| no. | E_form (uncorrected) (eV/atom) | energy above the most stable polymorph in this dataset (meV per atom) |
| --- | --- | --- |
| 1 | 2.4314 | 2508 |
| 2 | -0.0762 | 0 |
| 3 | 0.6738 | 0 |
| 4 | 1.8195 | 1146 |